DFT (GGA+U) results for BaPaCr2O6 after structural relaxation.

Summary:
- Total DFT energy (no corrections): -8.186 eV per atom

Lattice parameters (Å, degrees): 7.104 7.104 7.104 46.22 46.22 46.22
Fractional coordinates of all 10 atoms:
1 Ba 0.000 0.000 0.000
2 Pa 0.500 0.500 0.500
3 Cr 0.174 0.174 0.174
4 Cr 0.826 0.826 0.826
5 O 0.103 0.796 0.432
6 O 0.204 0.568 0.897
7 O 0.432 0.103 0.796
8 O 0.568 0.897 0.204
9 O 0.796 0.432 0.103
10 O 0.897 0.204 0.568